No. 1
Material: LiLa2Mg
Method: DFT, PBE
State: relaxed

a = 6.955 Å, b = 6.955 Å, c = 6.955 Å
α = 101.83°, β = 101.83°, γ = 126.15°
Fractional positions:
Li1 0.000 0.000 0.000
Li2 0.750 0.250 0.500
La1 0.098 0.125 0.473
La2 0.375 0.902 0.027
La3 0.652 0.625 0.527
La4 0.875 0.348 0.973
Mg1 0.250 0.750 0.500
Mg2 0.500 0.500 0.000

As for the excess energy over the best structure of this formula in the dataset: 229 meV per atom. The calculation puts the formation energy at 0.227 eV/atom. The value obtained for the volume is 242.2 Å³ per cell. The space group is I-42d.



No. 2
Material: CeEr3Tm6
Method: DFT, PBE
State: relaxed

a = 7.751 Å, b = 7.751 Å, c = 8.747 Å
α = 121.15°, β = 121.15°, γ = 48.72°
Fractional positions:
Ce1 0.000 0.000 0.000
Er1 0.000 0.000 0.500
Er2 0.494 0.494 0.768
Er3 0.506 0.506 0.232
Tm1 0.007 0.496 0.823
Tm2 0.208 0.208 0.453
Tm3 0.496 0.007 0.823
Tm4 0.504 0.993 0.177
Tm5 0.792 0.792 0.547
Tm6 0.993 0.504 0.177

As for the excess energy over the best structure of this formula in the dataset: 191 meV per atom. The calculation puts the formation energy at 0.351 eV/atom. The value obtained for the volume is 325.1 Å³ per cell. The space group is C2/m.



- The highest excess energy over the best structure of this formula in the dataset belongs to which entry?
  LiLa2Mg